[1]
A geometry-optimized Ta3Mo4 structure, computed with GGA-PBEsol.

a b c (Å): 11.4166 11.4166 11.4166
angles (deg): 164.00 164.00 22.71
Last column: nearest neighbours and their distance in Å.
Fractional coordinates of all 7 atoms:
1 Ta 0.0000 0.0000 0.0000  8 Mo 2.76-2.77
2 Ta 0.1419 0.1419 0.0000  4 Mo 2.75, 4 Ta 2.84
3 Ta 0.7193 0.7193 0.0000  4 Mo 2.75, 4 Ta 2.84
4 Mo 0.2901 0.2901 0.0000  4 Mo 2.73, 4 Ta 2.75
5 Mo 0.4274 0.4274 0.0000  4 Mo 2.72, 4 Ta 2.77
6 Mo 0.5715 0.5715 0.0000  8 Ta 2.75-2.76
7 Mo 0.8593 0.8593 0.0000  8 Mo 2.72-2.73

Calculated values
- N(E_F) (states/eV/cell) = 3.70
- DFT total energy (eV per formula unit) = -85.7


[2]
A geometry-optimized Ta2Mo5 structure, computed with GGA-PBEsol.

a b c (Å): 2.7537 6.8781 6.8836
angles (deg): 118.16 97.51 97.73
Last column: nearest neighbours and their distance in Å.
Fractional coordinates of all 7 atoms:
1 Ta 0.2082 0.3546 0.2818  5 Mo 2.73-2.77, 3 Ta 2.75-2.79
2 Ta 0.7918 0.6454 0.7182  5 Mo 2.73-2.77, 3 Ta 2.75-2.79
3 Mo 0.0725 0.7894 0.4282  6 Mo 2.69-2.75, 2 Ta 2.76-2.77
4 Mo 0.3607 0.9273 0.1449  6 Mo 2.70-2.77, 2 Ta 2.73-2.74
5 Mo 0.5000 0.5000 0.0000  6 Mo 2.72-2.75, 2 Ta 2.73
6 Mo 0.6393 0.0727 0.8551  6 Mo 2.70-2.77, 2 Ta 2.73-2.74
7 Mo 0.9275 0.2106 0.5718  6 Mo 2.69-2.75, 2 Ta 2.76-2.77

Calculated values
- N(E_F) (states/eV/cell) = 3.38
- relative energy among the computed polymorphs (meV per atom) = 11
- DFT total energy (eV per formula unit) = -84.6


[3]
A geometry-optimized Ta2Mo structure, computed with GGA-PBEsol.

a b c (Å): 3.0599 3.0599 6.3783
angles (deg): 90.00 90.00 120.00
Last column: nearest neighbours and their distance in Å.
Fractional coordinates of all 3 atoms:
1 Ta 0.3333 0.6667 0.3221  3 Mo 2.71, 3 Ta 2.88
2 Ta 0.6667 0.3333 0.6779  3 Mo 2.71, 3 Ta 2.88
3 Mo 0.0000 0.0000 0.0000  6 Ta 2.71

Calculated values
- N(E_F) (states/eV/cell) = 2.76
- relative energy among the computed polymorphs (meV per atom) = 385
- DFT total energy (eV per formula unit) = -36.2


[4]
A geometry-optimized Ta3Mo structure, computed with GGA-PBEsol.

a b c (Å): 2.8199 2.8199 18.2149
angles (deg): 90.00 90.00 110.39
Last column: nearest neighbours and their distance in Å.
Fractional coordinates of all 8 atoms:
1 Ta 0.2500 0.7500 0.1926  8 Ta 2.82-2.84
2 Ta 0.2500 0.7500 0.6786  2 Mo 2.73, 6 Ta 2.82-2.84
3 Ta 0.2500 0.7500 0.9357  8 Ta 2.82-2.84
4 Ta 0.7500 0.2500 0.0643  8 Ta 2.82-2.84
5 Ta 0.7500 0.2500 0.3214  2 Mo 2.73, 6 Ta 2.82-2.84
6 Ta 0.7500 0.2500 0.8074  8 Ta 2.82-2.84
7 Mo 0.2500 0.7500 0.4423  6 Mo 2.65-2.82, 2 Ta 2.73
8 Mo 0.7500 0.2500 0.5577  6 Mo 2.65-2.82, 2 Ta 2.73

Calculated values
- N(E_F) (states/eV/cell) = 8.74
- relative energy among the computed polymorphs (meV per atom) = 74
- DFT total energy (eV per formula unit) = -49.5


[5]
A geometry-optimized Ta2Mo structure, computed with GGA-PBEsol.

a b c (Å): 3.2060 3.2060 9.7558
angles (deg): 90.00 90.00 90.00
Last column: nearest neighbours and their distance in Å.
Fractional coordinates of all 6 atoms:
1 Ta 0.0000 0.0000 0.0000  8 Mo 2.78
2 Ta 0.0000 0.0000 0.3238  4 Mo 2.75, 4 Ta 2.84
3 Ta 0.0000 0.0000 0.6762  4 Mo 2.75, 4 Ta 2.84
4 Ta 0.5000 0.5000 0.5000  8 Ta 2.84
5 Mo 0.5000 0.5000 0.1651  8 Ta 2.75-2.78
6 Mo 0.5000 0.5000 0.8349  8 Ta 2.75-2.78

Calculated values
- N(E_F) (states/eV/cell) = 5.72
- relative energy among the computed polymorphs (meV per atom) = 16
- DFT total energy (eV per formula unit) = -37.3


[6]
A geometry-optimized Ta3Mo5 structure, computed with GGA-PBEsol.

a b c (Å): 5.2678 5.2678 6.3667
angles (deg): 107.77 107.77 50.48
Last column: nearest neighbours and their distance in Å.
Fractional coordinates of all 8 atoms:
1 Ta 0.0000 0.0000 0.0000  5 Mo 2.72-2.78, 3 Ta 2.78-2.80
2 Ta 0.2542 0.2542 0.8742  6 Mo 2.74-2.78, 2 Ta 2.80
3 Ta 0.5064 0.5064 0.2613  5 Mo 2.69-2.76, 3 Ta 2.78-2.80
4 Mo 0.0022 0.0022 0.5041  5 Mo 2.73-2.76, 3 Ta 2.73-2.74
5 Mo 0.2532 0.2532 0.3801  6 Mo 2.73-2.76, 2 Ta 2.76-2.78
6 Mo 0.5054 0.5054 0.7506  5 Mo 2.73-2.76, 3 Ta 2.76
7 Mo 0.7538 0.7538 0.1306  4 Mo 2.73-2.76, 4 Ta 2.74-2.78
8 Mo 0.7537 0.7537 0.6252  4 Ta 2.69-2.75, 4 Mo 2.73-2.74

Calculated values
- N(E_F) (states/eV/cell) = 4.05
- relative energy among the computed polymorphs (meV per atom) = 44
- DFT total energy (eV per formula unit) = -97.5


[7]
A geometry-optimized Ta3Mo structure, computed with GGA-PBEsol.

a b c (Å): 3.2191 3.2191 13.0836
angles (deg): 90.00 90.00 90.00
Last column: nearest neighbours and their distance in Å.
Fractional coordinates of all 8 atoms:
1 Ta 0.2500 0.2500 0.0638  8 Ta 2.82-2.83
2 Ta 0.2500 0.2500 0.3203  5 Mo 2.78-3.11, 4 Ta 2.83
3 Ta 0.2500 0.2500 0.8081  8 Ta 2.83
4 Ta 0.7500 0.7500 0.1919  8 Ta 2.83
5 Ta 0.7500 0.7500 0.6797  5 Mo 2.78-3.11, 4 Ta 2.83
6 Ta 0.7500 0.7500 0.9362  8 Ta 2.82-2.83
7 Mo 0.2500 0.2500 0.5581  4 Mo 2.74, 4 Ta 2.78
8 Mo 0.7500 0.7500 0.4419  4 Mo 2.74, 4 Ta 2.78

Calculated values
- N(E_F) (states/eV/cell) = 8.35
- relative energy among the computed polymorphs (meV per atom) = 49
- DFT total energy (eV per formula unit) = -49.6


[8]
A geometry-optimized TaMo4 structure, computed with GGA-PBEsol.

a b c (Å): 8.2215 8.2215 8.2215
angles (deg): 157.92 157.92 31.42
Last column: nearest neighbours and their distance in Å.
Fractional coordinates of all 5 atoms:
1 Ta 0.0000 0.0000 0.0000  8 Mo 2.76
2 Mo 0.1996 0.1996 0.0000  8 Mo 2.70-2.74
3 Mo 0.3966 0.3966 0.0000  4 Mo 2.70, 4 Ta 2.76
4 Mo 0.6034 0.6034 0.0000  4 Mo 2.70, 4 Ta 2.76
5 Mo 0.8004 0.8004 0.0000  8 Mo 2.70-2.74

Calculated values
- N(E_F) (states/eV/cell) = 1.90
- relative energy among the computed polymorphs (meV per atom) = 0
- DFT total energy (eV per formula unit) = -60.2


[9]
A geometry-optimized Ta2Mo5 structure, computed with GGA-PBEsol.

a b c (Å): 9.3463 9.3463 2.7554
angles (deg): 95.64 95.64 27.62
Last column: nearest neighbours and their distance in Å.
Fractional coordinates of all 7 atoms:
1 Ta 0.1419 0.1419 0.4270  6 Mo 2.72-2.76, 2 Ta 2.76
2 Ta 0.8581 0.8581 0.5730  6 Mo 2.72-2.76, 2 Ta 2.76
3 Mo 0.0000 0.0000 0.0000  2 Ta 2.72, 6 Mo 2.73-2.76
4 Mo 0.2857 0.2857 0.8671  5 Mo 2.72-2.76, 3 Ta 2.75-2.76
5 Mo 0.4293 0.4293 0.2822  6 Mo 2.72-2.76, 2 Ta 2.74
6 Mo 0.5707 0.5707 0.7178  6 Mo 2.72-2.76, 2 Ta 2.74
7 Mo 0.7143 0.7143 0.1329  5 Mo 2.72-2.76, 3 Ta 2.75-2.76

Calculated values
- N(E_F) (states/eV/cell) = 3.10
- relative energy among the computed polymorphs (meV per atom) = 0
- DFT total energy (eV per formula unit) = -84.6


[10]
A geometry-optimized Ta2Mo5 structure, computed with GGA-PBEsol.

a b c (Å): 6.8715 6.8715 6.8715
angles (deg): 38.11 38.11 38.11
Last column: nearest neighbours and their distance in Å.
Fractional coordinates of all 7 atoms:
1 Ta 0.1413 0.1413 0.1413  5 Mo 2.70-2.78, 3 Ta 2.77
2 Ta 0.8587 0.8587 0.8587  5 Mo 2.70-2.78, 3 Ta 2.77
3 Mo 0.0000 0.0000 0.0000  2 Ta 2.70, 6 Mo 2.74
4 Mo 0.2868 0.2868 0.2868  7 Mo 2.69-2.75, 1 Ta 2.78
5 Mo 0.4275 0.4275 0.4275  5 Mo 2.69-2.77, 3 Ta 2.74
6 Mo 0.5725 0.5725 0.5725  5 Mo 2.69-2.77, 3 Ta 2.74
7 Mo 0.7132 0.7132 0.7132  7 Mo 2.69-2.75, 1 Ta 2.78

Calculated values
- N(E_F) (states/eV/cell) = 3.59
- relative energy among the computed polymorphs (meV per atom) = 14
- DFT total energy (eV per formula unit) = -84.5


[11]
A geometry-optimized TaMo4 structure, computed with GGA-PBEsol.

a b c (Å): 6.8545 6.8545 2.7475
angles (deg): 97.63 97.63 37.85
Last column: nearest neighbours and their distance in Å.
Fractional coordinates of all 5 atoms:
1 Ta 0.0000 0.0000 0.0000  6 Mo 2.74, 2 Ta 2.75
2 Mo 0.2010 0.2010 0.7967  7 Mo 2.69-2.75, 1 Ta 2.74
3 Mo 0.3980 0.3980 0.5950  6 Mo 2.69-2.77, 2 Ta 2.74
4 Mo 0.6020 0.6020 0.4050  6 Mo 2.69-2.77, 2 Ta 2.74
5 Mo 0.7990 0.7990 0.2033  7 Mo 2.69-2.75, 1 Ta 2.74

Calculated values
- N(E_F) (states/eV/cell) = 2.43
- relative energy among the computed polymorphs (meV per atom) = 32
- DFT total energy (eV per formula unit) = -60.0


[12]
A geometry-optimized Ta2Mo structure, computed with GGA-PBEsol.

a b c (Å): 2.8202 4.5566 7.8134
angles (deg): 90.00 91.09 90.00
Last column: nearest neighbours and their distance in Å.
Fractional coordinates of all 6 atoms:
1 Ta 0.0092 0.2500 0.2426  3 Mo 2.69-2.77, 5 Ta 2.82-2.84
2 Ta 0.3376 0.2500 0.5881  1 Mo 2.73, 7 Ta 2.82-2.84
3 Ta 0.6624 0.7500 0.4119  1 Mo 2.73, 7 Ta 2.82-2.84
4 Ta 0.9908 0.7500 0.7574  3 Mo 2.69-2.77, 5 Ta 2.82-2.84
5 Mo 0.3386 0.7500 0.0809  4 Ta 2.69-2.77, 4 Mo 2.77-2.82
6 Mo 0.6614 0.2500 0.9191  4 Ta 2.69-2.77, 4 Mo 2.77-2.82

Calculated values
- N(E_F) (states/eV/cell) = 5.85
- relative energy among the computed polymorphs (meV per atom) = 79
- DFT total energy (eV per formula unit) = -37.1


[13]
A geometry-optimized Ta2Mo structure, computed with GGA-PBEsol.

a b c (Å): 2.8314 5.2954 6.9595
angles (deg): 78.92 82.64 79.68
Last column: nearest neighbours and their distance in Å.
Fractional coordinates of all 6 atoms:
1 Ta 0.0000 0.0000 0.0000  6 Ta 2.77-2.83, 2 Mo 2.82
2 Ta 0.1742 0.1693 0.3376  3 Mo 2.70-2.78, 5 Ta 2.79-2.83
3 Ta 0.5000 0.5000 0.0000  2 Mo 2.77, 6 Ta 2.77-2.83
4 Ta 0.8258 0.8307 0.6624  3 Mo 2.70-2.78, 5 Ta 2.79-2.83
5 Mo 0.3362 0.3341 0.6640  5 Ta 2.70-2.82, 3 Mo 2.77-2.83
6 Mo 0.6638 0.6659 0.3360  5 Ta 2.70-2.82, 3 Mo 2.77-2.83

Calculated values
- N(E_F) (states/eV/cell) = 6.25
- relative energy among the computed polymorphs (meV per atom) = 78
- DFT total energy (eV per formula unit) = -37.1


[14]
A geometry-optimized Ta3Mo5 structure, computed with GGA-PBEsol.

a b c (Å): 3.1678 3.1678 12.8173
angles (deg): 90.00 90.00 90.00
Last column: nearest neighbours and their distance in Å.
Fractional coordinates of all 8 atoms:
1 Ta 0.0000 0.0000 0.0000  4 Mo 2.74, 4 Ta 2.84
2 Ta 0.0000 0.0000 0.2484  8 Mo 2.75-2.79
3 Ta 0.5000 0.5000 0.8642  4 Mo 2.76, 4 Ta 2.84
4 Mo 0.0000 0.0000 0.4952  8 Mo 2.70-2.75
5 Mo 0.0000 0.0000 0.7377  4 Mo 2.71, 4 Ta 2.76
6 Mo 0.5000 0.5000 0.1237  8 Ta 2.74-2.75
7 Mo 0.5000 0.5000 0.3777  4 Mo 2.70, 4 Ta 2.79
8 Mo 0.5000 0.5000 0.6192  8 Mo 2.71-2.75

Calculated values
- N(E_F) (states/eV/cell) = 3.61
- relative energy among the computed polymorphs (meV per atom) = 36
- DFT total energy (eV per formula unit) = -97.5